# ZrFeBiIr

A relaxed ZrFeBiIr crystal (PBE, OQMD).

- density (Mg/m³) = 12.51
- total magnetization (μB/f.u.) = 2.0
- calculated total energy (Ry per atom) = -0.551
- offset from the most stable computed form (eV/atom) = 0.0000

Cell lengths 4.6866, 4.6866, 4.6866 Å; angles 60.00, 60.00, 60.00 degrees
Element x y z (fractional)
Fe: 0.7500 0.7500 0.7500
Bi: 0.0000 0.0000 0.0000
Zr: 0.5000 0.5000 0.5000
Ir: 0.2500 0.2500 0.2500